No. 1
DFT (GGA-PBE) results for BeZn2I after structural relaxation.

a b c (Å): 3.775 4.015 6.500
angles (deg): 107.27 106.67 90.02
Space group P1 (No. 1)
Unique sites:
Be  0.000  0.000  0.000
Zn  0.376  0.881  0.749
Zn  0.898  0.401  0.794
I  0.640  0.133  0.284

Values from the calculation:
Mass density   4.94 g/cm³
E above lowest polymorph   0.636 eV per formula unit
DOS at the Fermi energy   1.34 states/eV/f.u.
Crystal system   triclinic

***

No. 2
DFT (GGA-PBE) results for U2GePt3 after structural relaxation.

a b c (Å): 6.047 9.184 16.172
angles (deg): 90.00 90.00 90.00
Space group Fmmm (No. 69)
Unique sites:
U  0.213  0.000  0.000
U  0.250  0.250  0.250
Ge  0.000  0.000  0.334
Pt  0.000  0.000  0.171
Pt  0.000  0.234  0.415

Values from the calculation:
Energy of formation from the pure elements   -0.705 eV per atom
Mass density   16.77 g/cm³
DOS at the Fermi energy   8.32 states/eV/f.u.
Crystal system   orthorhombic

***

No. 3
DFT (GGA-PBE) results for AuF5 after structural relaxation.

a b c (Å): 7.754 6.711 8.351
angles (deg): 90.00 117.03 90.00
Space group C2/c (No. 15)
Unique sites:
Au  0.000  0.000  0.000
F  0.000  0.031  0.250
F  0.067  0.278  0.003
F  0.229  0.431  0.379

Values from the calculation:
Mass density   5.01 g/cm³
E above lowest polymorph   0.128 eV per formula unit
DOS at the Fermi energy   5.92 states/eV/f.u.
Crystal system   monoclinic

***

No. 4
DFT (GGA-PBE) results for TbSm2Si3Pt4 after structural relaxation.

a b c (Å): 4.254 4.254 10.880
angles (deg): 90.00 90.00 90.00
Space group P-4m2 (No. 115)
Unique sites:
Tb  0.000  0.000  0.000
Sm  0.000  0.500  0.725
Si  0.000  0.500  0.381
Si  0.500  0.500  0.000
Pt  0.000  0.000  0.500
Pt  0.000  0.500  0.163
Pt  0.500  0.500  0.500

Values from the calculation:
E   -6.50 eV/atom
Mass density   11.17 g/cm³
DOS at the Fermi energy   7.20 states/eV/f.u.
Crystal system   tetragonal

***

No. 5
DFT (GGA-PBE) results for Tm5In2HgRh2 after structural relaxation.

a b c (Å): 11.583 11.583 3.642
angles (deg): 90.00 90.00 90.00
Space group P4/mbm (No. 127)
Unique sites:
Tm  0.000  0.500  0.000
Tm  0.077  0.203  0.000
In  0.173  0.673  0.500
Hg  0.000  0.000  0.500
Rh  0.133  0.367  0.500

Values from the calculation:
Energy of formation from the pure elements   -0.607 eV per atom
Mass density   10.06 g/cm³
DOS at the Fermi energy   6.63 states/eV/f.u.
Crystal system   tetragonal

***

No. 6
DFT (GGA-PBE) results for Zr2VBi2 after structural relaxation.

a b c (Å): 7.701 7.701 3.996
angles (deg): 90.00 90.00 90.00
Space group P4/mbm (No. 127)
Unique sites:
Zr  0.148  0.352  0.000
V  0.000  0.000  0.500
Bi  0.154  0.654  0.500

Values from the calculation:
Energy of formation from the pure elements   0.068 eV per atom
Mass density   9.13 g/cm³
DOS at the Fermi energy   4.09 states/eV/f.u.
Crystal system   tetragonal

***

> What is the formula in the third record?

AuF5